Entry 1:
DFT (PBE) results for a relaxed Li4Ga2IrAu crystal.

## Properties
**Final energy**: -3.703 eV/atom
**Space group**: P-4m2, No. 115
**Theoretical density**: 8.162 Mg/m³

Lattice parameters (Å, degrees): 4.3045 4.3045 6.1095 90.00 90.00 90.00
Positions (direct):
Li (0.0000, 0.0000, 0.5000)
Li (0.5000, 0.0000, 0.7517)
Li (0.5000, 0.5000, 0.0000)
Li (0.0000, 0.5000, 0.2483)
Ga (0.5000, 0.0000, 0.2247)
Ga (0.0000, 0.5000, 0.7753)
Au (0.5000, 0.5000, 0.5000)
Ir (0.0000, 0.0000, 0.0000)

Entry 2:
DFT (PBE) results for a relaxed Y2GaCu2 crystal.

## Properties
**Final energy**: -4.800 eV/atom
**Space group**: I4/mmm, No. 139
**Theoretical density**: 6.168 Mg/m³

Lattice parameters (Å, degrees): 3.6216 3.6216 8.1045 102.91 102.91 90.00
Positions (direct):
Y (0.6068, 0.6068, 0.2135)
Y (0.3932, 0.3932, 0.7865)
Ga (0.0000, 0.0000, 0.0000)
Cu (0.2500, 0.7500, 0.5000)
Cu (0.7500, 0.2500, 0.5000)